VASP calculation (PBE-GGA) on a geometry-optimized La8SiHg2 structure.

Results
E ... -4.43 eV per atom
Space-group type ... C2/m, No. 12
ΔE_f (raw) ... -0.294 eV per atom
Spin magnetization ... 0.000 μB/f.u.

a = 10.0531 Å, b = 10.0531 Å, c = 7.1415 Å
α = 108.08°, β = 108.08°, γ = 30.66°
Atoms (fractional coordinates):
La1 0.0069 0.0069 0.2756
La2 0.2045 0.2045 0.8246
La3 0.3401 0.3401 0.5043
La4 0.4130 0.4130 0.0430
La5 0.5870 0.5870 0.9570
La6 0.6599 0.6599 0.4957
La7 0.7955 0.7955 0.1754
La8 0.9931 0.9931 0.7244
Si1 0.5000 0.5000 0.5000
Hg1 0.1697 0.1697 0.2314
Hg2 0.8303 0.8303 0.7686

---

VASP calculation (PBE-GGA) on a geometry-optimized LiCoPb2 structure.

Results
E ... -3.94 eV per atom
Formation energy ... 16.0 kJ per mole of atoms
Space-group type ... Amm2, No. 38
Spin magnetization ... 1.111 μB/f.u.

a = 4.4361 Å, b = 3.4929 Å, c = 10.2304 Å
α = 90.00°, β = 90.00°, γ = 90.00°
Atoms (fractional coordinates):
Li1 0.0000 0.0000 0.0000
Li2 0.0000 0.5000 0.5000
Co1 0.5000 0.0000 0.8505
Co2 0.5000 0.5000 0.3505
Pb1 0.0000 0.0000 0.2808
Pb2 0.0000 0.5000 0.7808
Pb3 0.5000 0.0000 0.5641
Pb4 0.5000 0.5000 0.0641

---

VASP calculation (PBE-GGA) on a geometry-optimized AcPm5DyTm2 structure.

Results
E ... -4.52 eV per atom
Formation energy ... 8.1 kJ per mole of atoms
Space-group type ... Cmc2_1, No. 36
Spin magnetization ... 0.000 μB/f.u.

a = 9.2070 Å, b = 9.2070 Å, c = 12.1611 Å
α = 90.00°, β = 90.00°, γ = 143.35°
Atoms (fractional coordinates):
Ac1 0.1144 0.8856 0.5000
Ac2 0.8856 0.1144 0.0000
Pm1 0.0782 0.9218 0.8418
Pm2 0.0808 0.9192 0.1652
Pm3 0.2684 0.7316 0.2963
Pm4 0.2692 0.7308 0.7052
Pm5 0.4400 0.5600 0.1477
Pm6 0.5600 0.4400 0.6477
Pm7 0.7308 0.2692 0.2052
Pm8 0.7316 0.2684 0.7963
Pm9 0.9192 0.0808 0.6652
Pm10 0.9218 0.0782 0.3418
Dy1 0.2481 0.7519 0.0003
Dy2 0.7519 0.2481 0.5003
Tm1 0.3885 0.6115 0.4998
Tm2 0.4381 0.5619 0.8537
Tm3 0.5619 0.4381 0.3537
Tm4 0.6115 0.3885 0.9998

---

VASP calculation (PBE-GGA) on a geometry-optimized Ac6Ge2PtSe3 structure.

Results
E ... -5.59 eV per atom
Space-group type ... C2/m, No. 12
ΔE_f (raw) ... -1.394 eV per atom
Spin magnetization ... 0.000 μB/f.u.

a = 10.1489 Å, b = 10.1489 Å, c = 9.1447 Å
α = 104.03°, β = 104.03°, γ = 25.75°
Atoms (fractional coordinates):
Ac1 0.0009 0.0009 0.2407
Ac2 0.3302 0.3302 0.4215
Ac3 0.3384 0.3384 0.9108
Ac4 0.6616 0.6616 0.0892
Ac5 0.6698 0.6698 0.5785
Ac6 0.9991 0.9991 0.7593
Ge1 0.1639 0.1639 0.3314
Ge2 0.8361 0.8361 0.6686
Pt1 0.5000 0.5000 0.0000
Se1 0.1696 0.1696 0.8345
Se2 0.5000 0.5000 0.5000
Se3 0.8304 0.8304 0.1655

---

Results for volume: 31.7, 19.8, 34.2, 33.0 (in Å³ per atom, following the order of the records).